[1]
Computed, not measured: a geometry-optimized NiIOF2 structure at the GGA+U level of DFT. Values from VASP.

Final energy   -17.0 eV/f.u.
Polymorph energy (0 for the lowest one)   0 meV per atom

```
&SYSTEM
  ibrav = 0, nat = 5, ntyp = 4
/
ATOMIC_SPECIES
Ni 58.69 Ni.upf
I 126.90 I.upf
O 16.00 O.upf
F 19.00 F.upf
CELL_PARAMETERS angstrom
3.759 0.000 0.000
0.000 3.759 0.000
0.000 0.000 5.184
ATOMIC_POSITIONS crystal
Ni 0.000 0.000 0.000
I 0.500 0.500 0.500
O 0.000 0.000 0.500
F 0.000 0.500 0.000
F 0.500 0.000 0.000
```


[2]
Computed, not measured: a geometry-optimized Rb2NiI6F structure at the GGA+U level of DFT. Values from VASP.

Final energy   -21.9 eV/f.u.

```
&SYSTEM
  ibrav = 0, nat = 10, ntyp = 4
/
ATOMIC_SPECIES
Rb 85.47 Rb.upf
Ni 58.69 Ni.upf
I 126.90 I.upf
F 19.00 F.upf
CELL_PARAMETERS angstrom
-3.804 3.804 5.970
3.804 -3.804 5.970
3.804 3.804 -5.970
ATOMIC_POSITIONS crystal
Rb 0.250 0.750 0.500
Rb 0.750 0.250 0.500
Ni 0.000 0.000 0.000
I 0.219 0.219 0.000
I 0.246 0.246 0.492
I 0.246 0.754 0.000
I 0.754 0.246 0.000
I 0.754 0.754 0.508
I 0.781 0.781 0.000
F 0.500 0.500 0.000
```


[3]
Computed, not measured: a geometry-optimized NiS2IF structure at the GGA+U level of DFT. Values from VASP.

Final energy   -10.8 eV/f.u.

```
&SYSTEM
  ibrav = 0, nat = 5, ntyp = 4
/
ATOMIC_SPECIES
Ni 58.69 Ni.upf
S 32.06 S.upf
I 126.90 I.upf
F 19.00 F.upf
CELL_PARAMETERS angstrom
4.106 0.000 0.000
0.000 4.106 0.000
0.000 0.000 7.074
ATOMIC_POSITIONS crystal
Ni 0.000 0.000 0.000
S 0.000 0.500 0.500
S 0.500 0.000 0.500
I 0.500 0.500 0.000
F 0.500 0.500 0.500
```


[4]
Computed, not measured: a geometry-optimized Ni2SnIF structure at the GGA+U level of DFT. Values from VASP.

Final energy   -12.0 eV/f.u.

```
&SYSTEM
  ibrav = 0, nat = 5, ntyp = 4
/
ATOMIC_SPECIES
Ni 58.69 Ni.upf
Sn 118.71 Sn.upf
I 126.90 I.upf
F 19.00 F.upf
CELL_PARAMETERS angstrom
4.313 0.000 0.000
0.000 4.313 0.000
0.000 0.000 5.916
ATOMIC_POSITIONS crystal
Ni 0.000 0.500 0.000
Ni 0.500 0.000 0.000
Sn 0.000 0.000 0.500
I 0.500 0.500 0.500
F 0.500 0.500 0.000
```


[5]
Computed, not measured: a geometry-optimized NiTe2IF structure at the GGA+U level of DFT. Values from VASP.

Final energy   -8.3 eV/f.u.
Polymorph energy (0 for the lowest one)   501 meV per atom

```
&SYSTEM
  ibrav = 0, nat = 5, ntyp = 4
/
ATOMIC_SPECIES
Ni 58.69 Ni.upf
Te 127.60 Te.upf
I 126.90 I.upf
F 19.00 F.upf
CELL_PARAMETERS angstrom
6.091 0.000 0.000
0.000 6.091 0.000
0.000 0.000 4.952
ATOMIC_POSITIONS crystal
Ni 0.000 0.000 0.000
Te 0.000 0.500 0.500
Te 0.500 0.000 0.500
I 0.000 0.000 0.500
F 0.500 0.500 0.000
```


[6]
Computed, not measured: a geometry-optimized NiTeI2F structure at the GGA+U level of DFT. Values from VASP.

Final energy   -9.2 eV/f.u.
Polymorph energy (0 for the lowest one)   0 meV per atom

```
&SYSTEM
  ibrav = 0, nat = 5, ntyp = 4
/
ATOMIC_SPECIES
Ni 58.69 Ni.upf
Te 127.60 Te.upf
I 126.90 I.upf
F 19.00 F.upf
CELL_PARAMETERS angstrom
5.143 0.000 0.000
0.000 5.143 0.000
0.000 0.000 4.937
ATOMIC_POSITIONS crystal
Ni 0.000 0.000 0.000
Te 0.000 0.000 0.500
I 0.000 0.500 0.000
I 0.500 0.000 0.000
F 0.500 0.500 0.500
```


[7]
Computed, not measured: a geometry-optimized NiTe2IF structure at the GGA+U level of DFT. Values from VASP.

Final energy   -10.8 eV/f.u.
Polymorph energy (0 for the lowest one)   0 meV per atom

```
&SYSTEM
  ibrav = 0, nat = 5, ntyp = 4
/
ATOMIC_SPECIES
Ni 58.69 Ni.upf
Te 127.60 Te.upf
I 126.90 I.upf
F 19.00 F.upf
CELL_PARAMETERS angstrom
4.954 0.000 0.000
0.000 4.954 0.000
0.000 0.000 5.143
ATOMIC_POSITIONS crystal
Ni 0.000 0.000 0.000
Te 0.000 0.500 0.000
Te 0.500 0.000 0.000
I 0.000 0.000 0.500
F 0.500 0.500 0.500
```


[8]
Computed, not measured: a geometry-optimized NiTeI2F structure at the GGA+U level of DFT. Values from VASP.

Final energy   -7.4 eV/f.u.
Polymorph energy (0 for the lowest one)   359 meV per atom

```
&SYSTEM
  ibrav = 0, nat = 5, ntyp = 4
/
ATOMIC_SPECIES
Ni 58.69 Ni.upf
Te 127.60 Te.upf
I 126.90 I.upf
F 19.00 F.upf
CELL_PARAMETERS angstrom
5.842 0.000 0.000
0.000 5.842 0.000
0.000 0.000 4.205
ATOMIC_POSITIONS crystal
Ni 0.000 0.000 0.000
Te 0.500 0.500 0.000
I 0.000 0.500 0.500
I 0.500 0.000 0.500
F 0.500 0.500 0.500
```


[9]
Computed, not measured: a geometry-optimized NiTe2IF structure at the GGA+U level of DFT. Values from VASP.

Final energy   -10.4 eV/f.u.
Polymorph energy (0 for the lowest one)   82 meV per atom

```
&SYSTEM
  ibrav = 0, nat = 5, ntyp = 4
/
ATOMIC_SPECIES
Ni 58.69 Ni.upf
Te 127.60 Te.upf
I 126.90 I.upf
F 19.00 F.upf
CELL_PARAMETERS angstrom
4.601 0.000 0.000
0.000 4.601 0.000
0.000 0.000 6.928
ATOMIC_POSITIONS crystal
Ni 0.000 0.000 0.000
Te 0.000 0.500 0.500
Te 0.500 0.000 0.500
I 0.500 0.500 0.000
F 0.500 0.500 0.500
```


What did the fifth record say?
Computed, not measured: a geometry-optimized NiTe2IF structure at the GGA+U level of DFT. Values from VASP.

Final energy   -8.3 eV/f.u.
Polymorph energy (0 for the lowest one)   501 meV per atom

```
&SYSTEM
  ibrav = 0, nat = 5, ntyp = 4
/
ATOMIC_SPECIES
Ni 58.69 Ni.upf
Te 127.60 Te.upf
I 126.90 I.upf
F 19.00 F.upf
CELL_PARAMETERS angstrom
6.091 0.000 0.000
0.000 6.091 0.000
0.000 0.000 4.952
ATOMIC_POSITIONS crystal
Ni 0.000 0.000 0.000
Te 0.000 0.500 0.500
Te 0.500 0.000 0.500
I 0.000 0.000 0.500
F 0.500 0.500 0.000
```


- Which value of final energy does entry 6 give?
  -9.2 eV/f.u.